No. 1
The following is a PBE-GGA calculation of a relaxed Ta2Pt crystal, from the Alexandria database.

Lattice parameters (Å, degrees): 6.265 6.265 6.265 90.00 90.00 90.00
Atoms (fractional coordinates):
1 Ta 0.129 0.129 0.129
2 Ta 0.129 0.371 0.629
3 Ta 0.371 0.629 0.129
4 Ta 0.371 0.871 0.629
5 Ta 0.629 0.129 0.371
6 Ta 0.629 0.371 0.871
7 Ta 0.871 0.629 0.371
8 Ta 0.871 0.871 0.871
9 Pt 0.000 0.000 0.500
10 Pt 0.000 0.500 0.000
11 Pt 0.500 0.000 0.000
12 Pt 0.500 0.500 0.500

DFT total energy, eV per cell: -114.78
SG: No. 205
Energy of formation from the pure elements, eV per atom: 0.350
Magnetic moment, μB per atom: 0.000

***

No. 2
The following is a PBE-GGA calculation of a relaxed TaPt crystal, from the Alexandria database.

Lattice parameters (Å, degrees): 4.074 4.074 5.343 90.00 90.00 120.00
Atoms (fractional coordinates):
1 Ta 0.333 0.667 0.250
2 Ta 0.667 0.333 0.750
3 Pt 0.000 0.000 0.000
4 Pt 0.000 0.000 0.500

DFT total energy, eV per cell: -36.39
SG: No. 194
Energy of formation from the pure elements, eV per atom: -0.150
Magnetic moment, μB per atom: 0.000

***

No. 3
The following is a PBE-GGA calculation of a relaxed TaPt crystal, from the Alexandria database.

Lattice parameters (Å, degrees): 5.833 5.833 5.833 90.00 90.00 90.00
Atoms (fractional coordinates):
1 Ta 0.000 0.000 0.000
2 Ta 0.000 0.500 0.500
3 Ta 0.500 0.000 0.500
4 Ta 0.500 0.500 0.000
5 Pt 0.250 0.250 0.250
6 Pt 0.250 0.750 0.750
7 Pt 0.750 0.250 0.750
8 Pt 0.750 0.750 0.250

DFT total energy, eV per cell: -67.68
SG: No. 216
Energy of formation from the pure elements, eV per atom: 0.486
Magnetic moment, μB per atom: 0.000

***

No. 4
The following is a PBE-GGA calculation of a relaxed TaPt3 crystal, from the Alexandria database.

Lattice parameters (Å, degrees): 4.614 5.606 4.931 90.00 90.00 90.00
Atoms (fractional coordinates):
1 Ta 0.250 0.250 0.161
2 Ta 0.750 0.750 0.839
3 Pt 0.250 0.000 0.666
4 Pt 0.250 0.500 0.666
5 Pt 0.250 0.750 0.157
6 Pt 0.750 0.000 0.334
7 Pt 0.750 0.250 0.843
8 Pt 0.750 0.500 0.334

DFT total energy, eV per cell: -65.81
SG: No. 59
Energy of formation from the pure elements, eV per atom: -0.732
Magnetic moment, μB per atom: 0.000

***

No. 5
The following is a PBE-GGA calculation of a relaxed TaPt crystal, from the Alexandria database.

Lattice parameters (Å, degrees): 4.554 4.554 7.981 90.00 90.00 120.00
Atoms (fractional coordinates):
1 Ta 0.000 0.000 0.250
2 Ta 0.000 0.000 0.750
3 Ta 0.333 0.667 0.250
4 Ta 0.667 0.333 0.750
5 Pt 0.333 0.667 0.577
6 Pt 0.333 0.667 0.923
7 Pt 0.667 0.333 0.077
8 Pt 0.667 0.333 0.423

DFT total energy, eV per cell: -70.90
SG: No. 194
Energy of formation from the pure elements, eV per atom: 0.084
Magnetic moment, μB per atom: 0.001

***

No. 6
The following is a PBE-GGA calculation of a relaxed TaPt3 crystal, from the Alexandria database.

Lattice parameters (Å, degrees): 4.930 5.606 9.389 90.00 100.57 90.00
Atoms (fractional coordinates):
1 Ta 0.122 0.250 0.377
2 Ta 0.288 0.250 0.873
3 Ta 0.712 0.750 0.127
4 Ta 0.878 0.750 0.623
5 Pt 0.107 0.750 0.376
6 Pt 0.208 0.001 0.123
7 Pt 0.208 0.499 0.123
8 Pt 0.292 0.750 0.872
9 Pt 0.380 0.501 0.626
10 Pt 0.380 0.999 0.626
11 Pt 0.620 0.001 0.374
12 Pt 0.620 0.499 0.374
13 Pt 0.708 0.250 0.128
14 Pt 0.792 0.501 0.877
15 Pt 0.792 0.999 0.877
16 Pt 0.893 0.250 0.624

DFT total energy, eV per cell: -131.64
SG: No. 11
Energy of formation from the pure elements, eV per atom: -0.734
Magnetic moment, μB per atom: 0.000

***

> Among the records above, which one has the highest magnetic moment?

number 5